The following is a PBE-GGA calculation of BeRuRh2 after structural relaxation, from the Alexandria database.

Calculated values
M_tot   0.0 μB/cell
Theoretical density   10.14 Mg/m³
Raw total energy   -28.01 eV per cell
Formation energy   -0.08 eV/atom
Symmetry   Pm (6)

Cell: 2.7146 3.8642 5.0840 Å, 90.00 104.05 90.00°
With the nearest neighbours (Å) after each atom.
Element x y z (fractional)
Be1 0.0000 0.0000 0.0000  5 Rh 2.38-2.61, 2 Ru 2.41
Ru1 0.7744 0.5000 0.7118  2 Be 2.41, 7 Rh 2.60-2.68
Rh1 0.1622 0.0000 0.4812  1 Be 2.38, 4 Ru 2.61-2.63
Rh2 0.5121 0.5000 0.1712  4 Be 2.42-2.61, 3 Ru 2.60-2.68

***

The following is a PBE-GGA calculation of BeRuRh after structural relaxation, from the Alexandria database.

Calculated values
M_tot   0.0 μB/cell
Theoretical density   9.92 Mg/m³
Raw total energy   -21.09 eV per cell
Energy above the most stable polymorph in this dataset   22.3 meV per atom
Formation energy   -0.24 eV/atom
Symmetry   I4mm (107)

Cell: 5.0640 5.0640 5.0640 Å, 148.35 148.35 45.37°
With the nearest neighbours (Å) after each atom.
Element x y z (fractional)
Be1 0.0000 0.0000 0.0000  4 Rh 2.39, 4 Ru 2.41
Ru1 0.6517 0.6517 0.0000  4 Be 2.41
Rh1 0.3520 0.3520 0.0000  4 Be 2.39

***

The following is a PBE-GGA calculation of BeRu3Rh after structural relaxation, from the Alexandria database.

Calculated values
M_tot   2.2 μB/cell
Theoretical density   6.91 Mg/m³
Raw total energy   -28.26 eV per cell
Energy above the most stable polymorph in this dataset   1602.2 meV per atom
Formation energy   2.13 eV/atom
Symmetry   Pm-3m (221)

Cell: 4.6381 4.6381 4.6381 Å, 90.00 90.00 90.00°
With the nearest neighbours (Å) after each atom.
Element x y z (fractional)
Be1 0.0000 0.0000 0.0000  12 Ru 3.28
Ru1 0.0000 0.5000 0.5000  2 Rh 2.32
Ru2 0.5000 0.0000 0.5000  2 Rh 2.32
Ru3 0.5000 0.5000 0.0000  2 Rh 2.32
Rh1 0.5000 0.5000 0.5000  6 Ru 2.32

***

The following is a PBE-GGA calculation of BeRuRh3 after structural relaxation, from the Alexandria database.

Calculated values
M_tot   0.0 μB/cell
Theoretical density   6.96 Mg/m³
Raw total energy   -27.03 eV per cell
Energy above the most stable polymorph in this dataset   1202.2 meV per atom
Formation energy   1.60 eV/atom
Symmetry   Pm-3m (221)

Cell: 4.6404 4.6404 4.6404 Å, 90.00 90.00 90.00°
With the nearest neighbours (Å) after each atom.
Element x y z (fractional)
Be1 0.0000 0.0000 0.0000  12 Rh 3.28
Ru1 0.5000 0.5000 0.5000  6 Rh 2.32
Rh1 0.0000 0.5000 0.5000  2 Ru 2.32
Rh2 0.5000 0.0000 0.5000  2 Ru 2.32
Rh3 0.5000 0.5000 0.0000  2 Ru 2.32

***

The following is a PBE-GGA calculation of BeRuRh2 after structural relaxation, from the Alexandria database.

Calculated values
M_tot   0.0 μB/cell
Theoretical density   10.51 Mg/m³
Raw total energy   -28.49 eV per cell
Formation energy   -0.20 eV/atom
Symmetry   P4mm (99)

Cell: 2.7458 2.7458 6.6183 Å, 90.00 90.00 90.00°
With the nearest neighbours (Å) after each atom.
Element x y z (fractional)
Be1 0.0000 0.0000 0.0000  4 Rh 2.36, 4 Ru 2.44
Ru1 0.5000 0.5000 0.7765  4 Be 2.44, 4 Rh 2.66
Rh1 0.0000 0.0000 0.5008  4 Ru 2.66, 8 Rh 2.75-2.76
Rh2 0.5000 0.5000 0.2036  4 Be 2.36

***

The following is a PBE-GGA calculation of BeRuRh2 after structural relaxation, from the Alexandria database.

Calculated values
M_tot   0.0 μB/cell
Theoretical density   10.12 Mg/m³
Raw total energy   -28.05 eV per cell
Formation energy   -0.09 eV/atom
Symmetry   Pmmm (47)

Cell: 2.7139 3.6418 5.2465 Å, 90.00 90.00 90.00°
With the nearest neighbours (Å) after each atom.
Element x y z (fractional)
Be1 0.0000 0.0000 0.0000  8 Rh 2.60, 2 Ru 2.62, 2 Be 2.71
Ru1 0.0000 0.0000 0.5000  2 Be 2.62, 8 Rh 2.65, 2 Ru 2.71
Rh1 0.5000 0.5000 0.2398  4 Rh 2.52-2.73, 4 Be 2.60, 4 Ru 2.65
Rh2 0.5000 0.5000 0.7602  4 Rh 2.52-2.73, 4 Be 2.60, 4 Ru 2.65

***

The following is a PBE-GGA calculation of BeRuRh2 after structural relaxation, from the Alexandria database.

Calculated values
M_tot   0.1 μB/cell
Theoretical density   10.17 Mg/m³
Raw total energy   -27.83 eV per cell
Formation energy   -0.03 eV/atom
Symmetry   R3m (160)

Cell: 8.2616 8.2616 8.2616 Å, 18.88 18.88 18.88°
With the nearest neighbours (Å) after each atom.
Element x y z (fractional)
Be1 0.0000 0.0000 0.0000  3 Rh 2.37, 3 Ru 2.47
Ru1 0.2550 0.2550 0.2550  3 Be 2.47, 3 Rh 2.65, 6 Ru 2.71
Rh1 0.5003 0.5003 0.5003  3 Ru 2.65, 9 Rh 2.71-2.77
Rh2 0.7397 0.7397 0.7397  3 Be 2.37

***

The following is a PBE-GGA calculation of BeRuRh2 after structural relaxation, from the Alexandria database.

Calculated values
M_tot   0.0 μB/cell
Theoretical density   10.04 Mg/m³
Raw total energy   -27.54 eV per cell
Formation energy   0.04 eV/atom
Symmetry   P4/mmm (123)

Cell: 3.7842 3.7842 3.6479 Å, 90.00 90.00 90.00°
With the nearest neighbours (Å) after each atom.
Element x y z (fractional)
Be1 0.0000 0.0000 0.0000  8 Rh 2.63, 4 Ru 2.68
Ru1 0.5000 0.5000 0.0000  8 Rh 2.63, 4 Be 2.68
Rh1 0.0000 0.5000 0.5000  4 Be 2.63, 4 Ru 2.63, 4 Rh 2.68
Rh2 0.5000 0.0000 0.5000  4 Be 2.63, 4 Ru 2.63, 4 Rh 2.68